(1)
Here is a relaxed structure of CaLaGaS4 from Alexandria. Energies are from PBE-GGA.

Cell lengths 7.8849, 7.9529, 7.9529 Å; angles 60.79, 60.28, 60.28 degrees
Atoms (fractional coordinates):
S (0.7433, 0.7468, 0.2468)
S (0.2550, 0.2525, 0.2376)
S (0.2567, 0.2532, 0.7532)
S (0.7369, 0.2532, 0.7532)
S (0.7450, 0.2624, 0.2475)
S (0.2631, 0.7468, 0.2468)
S (0.7450, 0.7475, 0.7624)
S (0.2550, 0.7376, 0.7525)
La (0.0000, 0.5000, 0.5000)
La (0.0000, 0.0000, 0.0000)
Ga (0.6298, 0.6202, 0.1202)
Ga (0.3702, 0.3798, 0.8798)
Ca (0.5000, 0.0000, 0.5000)
Ca (0.0000, 0.0000, 0.5000)

Computed properties:
**Uncorrected formation energy**: -10.5 eV/f.u.
**D(E_F)**: 0.37 states/eV per cell
**Crystal system**: orthorhombic

(2)
Here is a relaxed structure of Y2ZrMn from Alexandria. Energies are from PBE-GGA.

Cell lengths 9.9068, 9.9068, 9.9068 Å; angles 20.04, 20.04, 20.04 degrees
Atoms (fractional coordinates):
Y (0.2436, 0.2436, 0.2436)
Y (0.0182, 0.0182, 0.0182)
Zr (0.4819, 0.4819, 0.4819)
Mn (0.7563, 0.7563, 0.7563)

Computed properties:
**Offset from the most stable computed form**: 0.177 eV per atom
**D(E_F)**: 5.85 states/eV per cell
**Crystal system**: trigonal

(3)
Here is a relaxed structure of Mg3HgPt from Alexandria. Energies are from PBE-GGA.

Cell lengths 5.0356, 5.0356, 5.0356 Å; angles 90.00, 90.00, 90.00 degrees
Atoms (fractional coordinates):
Hg (0.5000, 0.5000, 0.5000)
Mg (0.5000, 0.0000, 0.0000)
Mg (0.0000, 0.5000, 0.0000)
Mg (0.0000, 0.0000, 0.5000)
Pt (0.0000, 0.0000, 0.0000)

Computed properties:
**Offset from the most stable computed form**: 0.158 eV per atom
**D(E_F)**: 1.65 states/eV per cell
**Crystal system**: cubic

(4)
Here is a relaxed structure of Ca8TlCd2 from Alexandria. Energies are from PBE-GGA.

Cell lengths 5.3366, 8.9883, 9.3435 Å; angles 118.75, 106.59, 90.00 degrees
Atoms (fractional coordinates):
Ca (0.1390, 0.1390, 0.2779)
Ca (0.6603, 0.4410, 0.3206)
Ca (0.8610, 0.8610, 0.7221)
Ca (0.0000, 0.6885, 0.0000)
Ca (0.3397, 0.1204, 0.6794)
Ca (0.3397, 0.5590, 0.6794)
Ca (0.6603, 0.8796, 0.3206)
Ca (0.0000, 0.3115, 0.0000)
Tl (0.5000, 0.0000, 0.0000)
Cd (0.1918, 0.6918, 0.3837)
Cd (0.8082, 0.3082, 0.6163)

Computed properties:
**Offset from the most stable computed form**: 0.000 eV per atom
**D(E_F)**: 6.81 states/eV per cell
**Crystal system**: orthorhombic

(5)
Here is a relaxed structure of CuReSn2W from Alexandria. Energies are from PBE-GGA.

Cell lengths 4.7220, 4.6046, 4.7220 Å; angles 90.00, 90.00, 90.00 degrees
Atoms (fractional coordinates):
Cu (0.0000, 0.0000, 0.0000)
W (0.5000, 0.5000, 0.5000)
Sn (0.0000, 0.0000, 0.5000)
Sn (0.5000, 0.0000, 0.0000)
Re (0.0000, 0.5000, 0.0000)

Computed properties:
**D(E_F)**: 6.98 states/eV per cell
**Crystal system**: tetragonal

(6)
Here is a relaxed structure of BaLa2Cd from Alexandria. Energies are from PBE-GGA.

Cell lengths 5.9479, 3.8654, 6.4740 Å; angles 80.82, 90.00, 90.00 degrees
Atoms (fractional coordinates):
La (0.0000, 0.9649, 0.9600)
La (0.0000, 0.5351, 0.5400)
Ba (0.5000, 0.2500, 0.2500)
Cd (0.5000, 0.7500, 0.7500)

Computed properties:
**Offset from the most stable computed form**: 0.092 eV per atom
**D(E_F)**: 5.00 states/eV per cell
**Crystal system**: monoclinic

(7)
Here is a relaxed structure of PbSe2S6 from Alexandria. Energies are from PBE-GGA.

Cell lengths 7.2657, 7.2657, 14.3645 Å; angles 104.93, 111.20, 77.05 degrees
Atoms (fractional coordinates):
S (0.7610, 0.4482, 0.3999)
S (0.4065, 0.7822, 0.2930)
S (0.2289, 0.8456, 0.9295)
S (0.4161, 0.2995, 0.5705)
S (0.2390, 0.5518, 0.6001)
S (0.5935, 0.2178, 0.7070)
S (0.0107, 0.8865, 0.7930)
S (0.9893, 0.1135, 0.2070)
S (0.7711, 0.1544, 0.0705)
S (0.5839, 0.7005, 0.4295)
S (0.5483, 0.3611, 0.1001)
S (0.4517, 0.6389, 0.8999)
Se (0.5825, 0.8512, 0.2124)
Se (0.8612, 0.6300, 0.7124)
Se (0.4175, 0.1488, 0.7876)
Se (0.1388, 0.3700, 0.2876)
Pb (0.5029, 0.7529, 0.7500)
Pb (0.4971, 0.2471, 0.2500)

Computed properties:
**Uncorrected formation energy**: 0.5 eV/f.u.
**Crystal system**: monoclinic

(8)
Here is a relaxed structure of Dy4AlHg2 from Alexandria. Energies are from PBE-GGA.

Cell lengths 5.1559, 5.1559, 8.8629 Å; angles 73.09, 73.09, 60.00 degrees
Atoms (fractional coordinates):
Dy (0.6214, 0.6214, 0.1357)
Dy (0.3786, 0.3786, 0.8643)
Dy (0.1265, 0.1265, 0.6204)
Dy (0.8735, 0.8735, 0.3796)
Hg (0.2517, 0.2517, 0.2450)
Hg (0.7483, 0.7483, 0.7550)
Al (0.0000, 0.0000, 0.0000)

Computed properties:
**D(E_F)**: 8.57 states/eV per cell
**Crystal system**: trigonal

How do the records compare in total energy? In the order shown, they have -74.0 -29.5 -12.7 -22.2 -28.7 -12.7 -69.9 -24.7 eV per cell.